# PBEsol La2PO, relaxed
data_La2PO
_chemical_formula_sum 'La8 P4 O4'
_cell_length_a 6.768
_cell_length_b 6.768
_cell_length_c 6.768
_cell_angle_alpha 90.00
_cell_angle_beta 90.00
_cell_angle_gamma 90.00
_symmetry_space_group_name_H-M 'F m -3 m'
_symmetry_Int_Tables_number 225
_symmetry_space_group_name_Hall '-F 4 2 3'
loop_
_atom_site_label
_atom_site_type_symbol
_atom_site_fract_x
_atom_site_fract_y
_atom_site_fract_z
_atom_site_occupancy
La1 La 0.250 0.250 0.250 1
P1 P 0.000 0.000 0.000 1
O1 O 0.000 0.000 0.500 1
# formation energy without anion corrections = -6.753 eV/f.u.
# crystal system = cubic
# total magnetization = 0.00 μB/f.u.



# PBEsol Li3Sc, relaxed
data_Li3Sc
_chemical_formula_sum 'Li6 Sc2'
_cell_length_a 3.378
_cell_length_b 4.939
_cell_length_c 10.015
_cell_angle_alpha 90.00
_cell_angle_beta 90.00
_cell_angle_gamma 90.00
_symmetry_space_group_name_H-M 'C m m m'
_symmetry_Int_Tables_number 65
_symmetry_space_group_name_Hall '-C 2 2'
loop_
_atom_site_label
_atom_site_type_symbol
_atom_site_fract_x
_atom_site_fract_y
_atom_site_fract_z
_atom_site_occupancy
Li1 Li 0.000 0.000 0.000 1
Li2 Li 0.000 0.500 0.244 1
Sc1 Sc 0.000 0.000 0.500 1
# E above lowest polymorph = 0 meV per atom
# crystal system = orthorhombic
# total magnetization = 0.00 μB/f.u.



# PBEsol MnAg3Ru, relaxed
data_MnAg3Ru
_chemical_formula_sum 'Mn1 Ag3 Ru1'
_cell_length_a 4.888
_cell_length_b 4.888
_cell_length_c 4.888
_cell_angle_alpha 90.00
_cell_angle_beta 90.00
_cell_angle_gamma 90.00
_symmetry_space_group_name_H-M 'P m -3 m'
_symmetry_Int_Tables_number 221
_symmetry_space_group_name_Hall '-P 4 2 3'
loop_
_atom_site_label
_atom_site_type_symbol
_atom_site_fract_x
_atom_site_fract_y
_atom_site_fract_z
_atom_site_occupancy
Mn1 Mn 0.000 0.000 0.000 1
Ag1 Ag 0.000 0.500 0.500 1
Ru1 Ru 0.500 0.500 0.500 1
# energy = -0.158 Ha/atom
# crystal system = cubic
# total magnetization = 6.67 μB/f.u.



# PBEsol NaMg3, relaxed
data_NaMg3
_chemical_formula_sum 'Na1 Mg3'
_cell_length_a 3.152
_cell_length_b 4.747
_cell_length_c 6.626
_cell_angle_alpha 90.00
_cell_angle_beta 90.00
_cell_angle_gamma 90.00
_symmetry_space_group_name_H-M 'P m m m'
_symmetry_Int_Tables_number 47
loop_
_symmetry_equiv_pos_as_xyz
'x,y,z'
'-x,-y,-z'
'-x,-y,z'
'x,y,-z'
'x,-y,-z'
'-x,y,z'
'-x,y,-z'
'x,-y,z'
loop_
_atom_site_label
_atom_site_type_symbol
_atom_site_fract_x
_atom_site_fract_y
_atom_site_fract_z
_atom_site_occupancy
Na1 Na 0.000 0.000 0.000 1
Mg1 Mg 0.000 0.000 0.500 1
Mg2 Mg 0.500 0.500 0.265 1
# energy = -0.057 Ha/atom
# crystal system = orthorhombic
# total magnetization = 0.00 μB/f.u.



# PBEsol TaCdTc2, relaxed
data_TaCdTc2
_chemical_formula_sum 'Ta2 Cd2 Tc4'
_cell_length_a 3.169
_cell_length_b 4.542
_cell_length_c 8.984
_cell_angle_alpha 90.00
_cell_angle_beta 90.00
_cell_angle_gamma 90.00
_symmetry_space_group_name_H-M 'C m m m'
_symmetry_Int_Tables_number 65
_symmetry_space_group_name_Hall '-C 2 2'
loop_
_atom_site_label
_atom_site_type_symbol
_atom_site_fract_x
_atom_site_fract_y
_atom_site_fract_z
_atom_site_occupancy
Ta1 Ta 0.000 0.000 0.000 1
Cd1 Cd 0.000 0.000 0.500 1
Tc1 Tc 0.000 0.500 0.234 1
# energy = -0.329 Ha/atom
# crystal system = orthorhombic
# total magnetization = 0.00 μB/f.u.



# PBEsol Ca2LaCu2, relaxed
data_Ca2LaCu2
_chemical_formula_sum 'Ca4 La2 Cu4'
_cell_length_a 5.147
_cell_length_b 5.147
_cell_length_c 10.092
_cell_angle_alpha 90.00
_cell_angle_beta 90.00
_cell_angle_gamma 90.00
_symmetry_space_group_name_H-M 'I 4/m m m'
_symmetry_Int_Tables_number 139
_symmetry_space_group_name_Hall '-I 4 2'
loop_
_atom_site_label
_atom_site_type_symbol
_atom_site_fract_x
_atom_site_fract_y
_atom_site_fract_z
_atom_site_occupancy
Ca1 Ca 0.000 0.000 0.156 1
La1 La 0.000 0.000 0.500 1
Cu1 Cu 0.000 0.500 0.250 1
# E above lowest polymorph = 303 meV per atom
# crystal system = tetragonal
# total magnetization = 0.00 μB/f.u.



# PBEsol FeCo2Si, relaxed
data_FeCo2Si
_chemical_formula_sum 'Fe3 Co6 Si3'
_cell_length_a 2.5568
_cell_length_b 2.5568
_cell_length_c 22.6985
_cell_angle_alpha 90.00
_cell_angle_beta 90.00
_cell_angle_gamma 120.00
_symmetry_space_group_name_H-M 'R -3 m'
_symmetry_Int_Tables_number 166
_symmetry_space_group_name_Hall '-R 3 2"'
loop_
_atom_site_label
_atom_site_type_symbol
_atom_site_fract_x
_atom_site_fract_y
_atom_site_fract_z
_atom_site_occupancy
Fe1 Fe 0.0000 0.0000 0.0000 1
Co1 Co 0.0000 0.0000 0.2468 1
Si1 Si 0.0000 0.0000 0.5000 1
# formation energy without anion corrections = -0.534 eV/f.u.
# crystal system = trigonal
# total magnetization = 3.89 μB/f.u.



# PBEsol Sc3MnCu, relaxed
data_Sc3MnCu
_chemical_formula_sum 'Sc3 Mn1 Cu1'
_cell_length_a 4.858
_cell_length_b 4.858
_cell_length_c 4.858
_cell_angle_alpha 90.00
_cell_angle_beta 90.00
_cell_angle_gamma 90.00
_symmetry_space_group_name_H-M 'P m -3 m'
_symmetry_Int_Tables_number 221
_symmetry_space_group_name_Hall '-P 4 2 3'
loop_
_atom_site_label
_atom_site_type_symbol
_atom_site_fract_x
_atom_site_fract_y
_atom_site_fract_z
_atom_site_occupancy
Sc1 Sc 0.000 0.000 0.500 1
Mn1 Mn 0.500 0.500 0.500 1
Cu1 Cu 0.000 0.000 0.000 1
# energy = -0.229 Ha/atom
# crystal system = cubic
# total magnetization = 2.54 μB/f.u.



# PBEsol Zr2OsPbAu, relaxed
data_Zr2OsPbAu
_chemical_formula_sum 'Zr2 Os1 Pb1 Au1'
_cell_length_a 5.028
_cell_length_b 5.028
_cell_length_c 4.868
_cell_angle_alpha 90.00
_cell_angle_beta 90.00
_cell_angle_gamma 90.00
_symmetry_space_group_name_H-M 'P 4/m m m'
_symmetry_Int_Tables_number 123
_symmetry_space_group_name_Hall '-P 4 2'
loop_
_atom_site_label
_atom_site_type_symbol
_atom_site_fract_x
_atom_site_fract_y
_atom_site_fract_z
_atom_site_occupancy
Zr1 Zr 0.000 0.500 0.000 1
Os1 Os 0.000 0.000 0.500 1
Pb1 Pb 0.500 0.500 0.500 1
Au1 Au 0.000 0.000 0.000 1
# energy = -0.244 Ha/atom
# crystal system = tetragonal
# total magnetization = 0.39 μB/f.u.



# PBEsol Te2PCl, relaxed
data_Te2PCl
_chemical_formula_sum 'Te6 P3 Cl3'
_cell_length_a 3.6020
_cell_length_b 3.6020
_cell_length_c 24.9153
_cell_angle_alpha 90.00
_cell_angle_beta 90.00
_cell_angle_gamma 120.00
_symmetry_space_group_name_H-M 'R -3 m'
_symmetry_Int_Tables_number 166
_symmetry_space_group_name_Hall '-R 3 2"'
loop_
_atom_site_label
_atom_site_type_symbol
_atom_site_fract_x
_atom_site_fract_y
_atom_site_fract_z
_atom_site_occupancy
Te1 Te 0.0000 0.0000 0.2380 1
P1 P 0.0000 0.0000 0.5000 1
Cl1 Cl 0.0000 0.0000 0.0000 1
# formation energy without anion corrections = 0.091 eV/f.u.
# crystal system = trigonal
# total magnetization = 0.00 μB/f.u.



# PBEsol YHgAu2N, relaxed
data_YHgAu2N
_chemical_formula_sum 'Y1 Hg1 Au2 N1'
_cell_length_a 5.032
_cell_length_b 5.032
_cell_length_c 5.552
_cell_angle_alpha 90.00
_cell_angle_beta 90.00
_cell_angle_gamma 90.00
_symmetry_space_group_name_H-M 'P 4/m m m'
_symmetry_Int_Tables_number 123
_symmetry_space_group_name_Hall '-P 4 2'
loop_
_atom_site_label
_atom_site_type_symbol
_atom_site_fract_x
_atom_site_fract_y
_atom_site_fract_z
_atom_site_occupancy
Y1 Y 0.000 0.000 0.000 1
Hg1 Hg 0.000 0.000 0.500 1
Au1 Au 0.000 0.500 0.500 1
N1 N 0.500 0.500 0.000 1
# formation energy without anion corrections = 7.019 eV/f.u.
# crystal system = tetragonal
# total magnetization = 1.76 μB/f.u.



# PBEsol AgHg2SBr, relaxed
data_AgHg2SBr
_chemical_formula_sum 'Ag1 Hg2 S1 Br1'
_cell_length_a 5.351
_cell_length_b 5.351
_cell_length_c 5.008
_cell_angle_alpha 90.00
_cell_angle_beta 90.00
_cell_angle_gamma 90.00
_symmetry_space_group_name_H-M 'P 4/m m m'
_symmetry_Int_Tables_number 123
_symmetry_space_group_name_Hall '-P 4 2'
loop_
_atom_site_label
_atom_site_type_symbol
_atom_site_fract_x
_atom_site_fract_y
_atom_site_fract_z
_atom_site_occupancy
Ag1 Ag 0.000 0.000 0.000 1
Hg1 Hg 0.000 0.500 0.000 1
S1 S 0.500 0.500 0.500 1
Br1 Br 0.000 0.000 0.500 1
# formation energy without anion corrections = 2.527 eV/f.u.
# crystal system = tetragonal
# total magnetization = 1.59 μB/f.u.